Record 1
DFT (PBE-GGA) results for a relaxed structure of Ba2HfB.

Cell: 8.5416 8.5416 8.5416 Å, 94.04 94.04 149.23°
Closest atoms and distances in Å follow each position.
Element x y z (fractional)
Ba  0.3750  0.2112  0.3362  2 B 3.13
Ba  0.7888  0.1250  0.1638  2 B 3.13
Ba  0.8750  0.0388  0.6638  2 B 3.13
Ba  0.9612  0.6250  0.8362  2 B 3.13
Hf  0.2500  0.7500  0.5000  2 B 2.27
Hf  0.5000  0.5000  0.0000  2 B 2.27
B  0.0000  0.0000  0.0000  2 Hf 2.27
B  0.7500  0.2500  0.5000  2 Hf 2.27

ΔE_f, eV/atom: 0.659

Record 2
DFT (PBE-GGA) results for a relaxed structure of Tl2CBr.

Cell: 5.4983 5.4983 5.4983 Å, 60.00 60.00 60.00°
Closest atoms and distances in Å follow each position.
Element x y z (fractional)
Tl  0.2500  0.2500  0.2500  4 Br 3.37, 4 C 3.37
Tl  0.7500  0.7500  0.7500  4 Br 3.37, 4 C 3.37
C  0.0000  0.0000  0.0000  8 Tl 3.37
Br  0.5000  0.5000  0.5000  8 Tl 3.37

Formation energy (no corrections), eV per atom: 1.130

Number 1: distance to the lowest polymorph of the same formula 0.000 eV/atom. Number 2: distance to the lowest polymorph of the same formula 0.462 eV/atom.